one) ## TiMn3Pd (GGA-PBE)

Data for a relaxed TiMn3Pd crystal.

Cell lengths 4.199, 4.199, 4.199 Å; angles 90.00, 90.00, 90.00 degrees
Positions (direct):
Mn 0.000 0.500 0.000
Mn 0.000 0.000 0.500
Mn 0.500 0.000 0.000
Pd 0.500 0.500 0.500
Ti 0.000 0.000 0.000

Crystal system: cubic

***

two) ## TiMn3Pd (GGA-PBE)

Data for a relaxed TiMn3Pd crystal.

Cell lengths 4.758, 4.758, 4.758 Å; angles 90.00, 90.00, 90.00 degrees
Positions (direct):
Mn 0.000 0.000 0.500
Mn 0.500 0.000 0.000
Mn 0.000 0.500 0.000
Pd 0.000 0.000 0.000
Ti 0.500 0.500 0.500

Crystal system: cubic

***

Relative energy of each structure, in meV/atom: one) 381; two) 0.

***

one) ## TiMnPd5 (GGA-PBE)

Data for a relaxed TiMnPd5 crystal.

Cell lengths 5.397, 5.397, 10.994 Å; angles 59.75, 59.75, 62.56 degrees
Positions (direct):
Pd 0.087 0.442 0.237
Pd 0.571 0.711 0.012
Pd 0.429 0.289 0.988
Pd 0.929 0.071 0.750
Pd 0.071 0.929 0.250
Pd 0.442 0.087 0.737
Pd 0.913 0.558 0.763
Pd 0.289 0.429 0.488
Pd 0.558 0.913 0.263
Pd 0.711 0.571 0.512
Mn 0.000 0.000 0.500
Mn 0.000 0.000 0.000
Ti 0.373 0.627 0.750
Ti 0.627 0.373 0.250

Crystal system: monoclinic

***

two) ## TiMnPd5 (GGA-PBE)

Data for a relaxed TiMnPd5 crystal.

Cell lengths 4.048, 4.048, 6.897 Å; angles 90.00, 90.00, 90.00 degrees
Positions (direct):
Pd 0.500 0.000 0.230
Pd 0.000 0.500 0.230
Pd 0.500 0.000 0.770
Pd 0.500 0.500 0.500
Pd 0.000 0.500 0.770
Mn 0.500 0.500 0.000
Ti 0.000 0.000 0.500

Crystal system: tetragonal

***

Relative energy of each structure, in meV/atom: one) 63; two) 0.